Record 1
Hf2BeHg | GGA-PBEsol | relaxed

Cell: 4.6755 4.6755 4.6755 Å, 60.00 60.00 60.00°
Last column: nearest neighbours and their distance in Å.
Atoms (fractional coordinates):
1 Hf 0.2500 0.2500 0.2500  4 Hg 2.86, 4 Be 2.86
2 Hf 0.7500 0.7500 0.7500  4 Hg 2.86, 4 Be 2.86
3 Be 0.0000 0.0000 0.0000  8 Hf 2.86
4 Hg 0.5000 0.5000 0.5000  8 Hf 2.86

Properties
energy of formation from the pure elements	0.049	eV/atom
symmetry	No. 225


Record 2
KHfBe2I | GGA-PBEsol | relaxed

Cell: 5.1435 5.1435 5.9678 Å, 90.00 90.00 90.00°
Last column: nearest neighbours and their distance in Å.
Atoms (fractional coordinates):
1 K 0.0000 0.0000 0.0000  4 Be 2.57
2 Hf 0.0000 0.0000 0.5000  2 K 2.98
3 Be 0.0000 0.5000 0.0000  2 K 2.57
4 Be 0.5000 0.0000 0.0000  2 K 2.57
5 I 0.5000 0.5000 0.5000  4 Hf 3.64, 8 Be 3.94

Properties
symmetry	No. 123
raw formation energy	2294	meV/atom


Record 3
HfBeIO2 | GGA-PBEsol | relaxed

Cell: 3.9797 3.9797 5.9484 Å, 90.00 90.00 90.00°
Last column: nearest neighbours and their distance in Å.
Atoms (fractional coordinates):
1 Hf 0.0000 0.0000 0.0000  4 O 1.99
2 Be 0.5000 0.5000 0.5000  4 I 2.81
3 I 0.0000 0.0000 0.5000  4 Be 2.81, 2 Hf 2.97
4 O 0.0000 0.5000 0.0000  2 Hf 1.99
5 O 0.5000 0.0000 0.0000  2 Hf 1.99

Properties
symmetry	No. 123
raw formation energy	-1248	meV/atom


Record 4
HfBeSbI2 | GGA-PBEsol | relaxed

Cell: 4.8876 4.8876 5.1507 Å, 90.00 90.00 90.00°
Last column: nearest neighbours and their distance in Å.
Atoms (fractional coordinates):
1 Hf 0.0000 0.0000 0.0000  4 Sb 3.46, 8 I 3.55
2 Be 0.5000 0.5000 0.5000  4 I 2.44, 2 Sb 2.58
3 Sb 0.5000 0.5000 0.0000  2 Be 2.58
4 I 0.0000 0.5000 0.5000  2 Be 2.44
5 I 0.5000 0.0000 0.5000  2 Be 2.44

Properties
symmetry	No. 123
raw formation energy	563	meV/atom


Record 5
Hf2BeIn | GGA-PBEsol | relaxed

Cell: 4.6914 4.6914 4.6914 Å, 60.00 60.00 60.00°
Last column: nearest neighbours and their distance in Å.
Atoms (fractional coordinates):
1 Hf 0.2500 0.2500 0.2500  4 In 2.87, 4 Be 2.87
2 Hf 0.7500 0.7500 0.7500  4 In 2.87, 4 Be 2.87
3 Be 0.0000 0.0000 0.0000  8 Hf 2.87
4 In 0.5000 0.5000 0.5000  8 Hf 2.87

Properties
energy of formation from the pure elements	0.087	eV/atom
symmetry	No. 225


Record 6
Hf2BeInSe | GGA-PBEsol | relaxed

Cell: 4.9426 4.9426 4.1287 Å, 90.00 90.00 90.00°
Last column: nearest neighbours and their distance in Å.
Atoms (fractional coordinates):
1 Hf 0.0000 0.5000 0.0000  2 Se 2.47
2 Hf 0.5000 0.0000 0.0000  2 Se 2.47
3 Be 0.0000 0.0000 0.5000  2 Se 2.06
4 In 0.5000 0.5000 0.5000  8 Hf 3.22, 4 Be 3.49
5 Se 0.0000 0.0000 0.0000  2 Be 2.06

Properties
symmetry	No. 123
raw formation energy	229	meV/atom


Record 7
HfBe2Ir | GGA-PBEsol | relaxed

Cell: 4.1096 4.1096 4.1096 Å, 60.00 60.00 60.00°
Last column: nearest neighbours and their distance in Å.
Atoms (fractional coordinates):
1 Hf 0.0000 0.0000 0.0000  8 Be 2.52
2 Be 0.2500 0.2500 0.2500  4 Hf 2.52, 4 Ir 2.52
3 Be 0.7500 0.7500 0.7500  4 Hf 2.52, 4 Ir 2.52
4 Ir 0.5000 0.5000 0.5000  8 Be 2.52

Properties
energy of formation from the pure elements	-0.526	eV/atom
symmetry	No. 225


Record 8
Hf2BeIr | GGA-PBEsol | relaxed

Cell: 5.7497 5.7497 5.7497 Å, 102.90 102.90 123.60°
Last column: nearest neighbours and their distance in Å.
Atoms (fractional coordinates):
1 Hf 0.1137 0.6250 0.9887  2 Ir 2.57, 2 Be 2.68, 2 Hf 2.72
2 Hf 0.3750 0.3637 0.4887  2 Ir 2.57, 2 Be 2.68, 2 Hf 2.72
3 Hf 0.6363 0.1250 0.0113  2 Ir 2.57, 2 Be 2.68, 2 Hf 2.72
4 Hf 0.8750 0.8863 0.5113  2 Ir 2.57, 2 Be 2.68, 2 Hf 2.72
5 Be 0.2500 0.7500 0.5000  4 Hf 2.68, 2 Ir 2.72
6 Be 0.5000 0.5000 0.0000  4 Hf 2.68, 2 Ir 2.72
7 Ir 0.0000 0.0000 0.0000  4 Hf 2.57, 2 Be 2.72
8 Ir 0.7500 0.2500 0.5000  4 Hf 2.57, 2 Be 2.72

Properties
energy of formation from the pure elements	0.178	eV/atom
symmetry	No. 122


Record 9
HfBe2Ir2 | GGA-PBEsol | relaxed

Cell: 6.6909 6.6909 2.8182 Å, 90.00 90.00 90.00°
Last column: nearest neighbours and their distance in Å.
Atoms (fractional coordinates):
1 Hf 0.0000 0.0000 0.0000  4 Be 2.68, 2 Hf 2.82, 8 Ir 2.85
2 Hf 0.5000 0.5000 0.0000  4 Be 2.68, 2 Hf 2.82, 8 Ir 2.85
3 Be 0.1165 0.3835 0.0000  1 Be 2.20, 6 Ir 2.43-2.44
4 Be 0.3835 0.8835 0.0000  1 Be 2.20, 6 Ir 2.43-2.44
5 Be 0.6165 0.1165 0.0000  1 Be 2.20, 6 Ir 2.43-2.44
6 Be 0.8835 0.6165 0.0000  1 Be 2.20, 6 Ir 2.43-2.44
7 Ir 0.1731 0.6731 0.5000  6 Be 2.43-2.44
8 Ir 0.3269 0.1731 0.5000  6 Be 2.43-2.44
9 Ir 0.6731 0.8269 0.5000  6 Be 2.43-2.44
10 Ir 0.8269 0.3269 0.5000  6 Be 2.43-2.44

Properties
energy of formation from the pure elements	-0.683	eV/atom
symmetry	No. 127


Record 10
HfBe3Ir | GGA-PBEsol | relaxed

Cell: 4.0985 4.0985 4.0985 Å, 90.00 90.00 90.00°
Last column: nearest neighbours and their distance in Å.
Atoms (fractional coordinates):
1 Hf 0.0000 0.0000 0.0000  12 Be 2.90
2 Be 0.0000 0.5000 0.5000  2 Ir 2.05
3 Be 0.5000 0.0000 0.5000  2 Ir 2.05
4 Be 0.5000 0.5000 0.0000  2 Ir 2.05
5 Ir 0.5000 0.5000 0.5000  6 Be 2.05

Properties
energy of formation from the pure elements	0.057	eV/atom
symmetry	No. 221


Record 11
Na2HfBeIr | GGA-PBEsol | relaxed

Cell: 5.8638 5.8638 4.6541 Å, 90.00 90.00 90.00°
Last column: nearest neighbours and their distance in Å.
Atoms (fractional coordinates):
1 Na 0.0000 0.5000 0.0000  2 Hf 2.93
2 Na 0.5000 0.0000 0.0000  2 Hf 2.93
3 Hf 0.0000 0.0000 0.0000  2 Ir 2.33
4 Be 0.5000 0.5000 0.5000  8 Na 3.74, 4 Ir 4.15
5 Ir 0.0000 0.0000 0.5000  2 Hf 2.33

Properties
energy of formation from the pure elements	1.634	eV/atom
symmetry	No. 123


Record 12
KHf2Be2 | GGA-PBEsol | relaxed

Cell: 6.2318 6.2318 6.2318 Å, 136.86 136.86 62.66°
Last column: nearest neighbours and their distance in Å.
Atoms (fractional coordinates):
1 K 0.0000 0.0000 0.0000  8 Be 3.51, 10 Hf 3.61-3.66
2 Hf 0.3395 0.3395 0.0000  4 Be 2.48
3 Hf 0.6605 0.6605 0.0000  4 Be 2.48
4 Be 0.2500 0.7500 0.5000  4 Hf 2.48
5 Be 0.7500 0.2500 0.5000  4 Hf 2.48

Properties
energy of formation from the pure elements	1.036	eV/atom
symmetry	No. 139


Copy entry 7 word for word.
HfBe2Ir | GGA-PBEsol | relaxed

Cell: 4.1096 4.1096 4.1096 Å, 60.00 60.00 60.00°
Last column: nearest neighbours and their distance in Å.
Atoms (fractional coordinates):
1 Hf 0.0000 0.0000 0.0000  8 Be 2.52
2 Be 0.2500 0.2500 0.2500  4 Hf 2.52, 4 Ir 2.52
3 Be 0.7500 0.7500 0.7500  4 Hf 2.52, 4 Ir 2.52
4 Ir 0.5000 0.5000 0.5000  8 Be 2.52

Properties
energy of formation from the pure elements	-0.526	eV/atom
symmetry	No. 225


Please write out number 10 again, unchanged.
HfBe3Ir | GGA-PBEsol | relaxed

Cell: 4.0985 4.0985 4.0985 Å, 90.00 90.00 90.00°
Last column: nearest neighbours and their distance in Å.
Atoms (fractional coordinates):
1 Hf 0.0000 0.0000 0.0000  12 Be 2.90
2 Be 0.0000 0.5000 0.5000  2 Ir 2.05
3 Be 0.5000 0.0000 0.5000  2 Ir 2.05
4 Be 0.5000 0.5000 0.0000  2 Ir 2.05
5 Ir 0.5000 0.5000 0.5000  6 Be 2.05

Properties
energy of formation from the pure elements	0.057	eV/atom
symmetry	No. 221